SrCaAu, optimized geometry, DFT PBE-GGA; space group = Pbca; energy above the lowest structure with this stoichiometry = 0 meV/atom; calculated density = 5.27 g/cm3; energy of formation = -58.6 kJ per mole of atoms
1.0
-2.082 6.161 -3.335
-7.647 -2.312 0.503
-1.103 6.348 12.415
Sr Ca Au
8 8 8
Direct
0.807 0.395 0.803 Sr
0.193 0.605 0.197 Sr
0.693 0.895 0.197 Sr
0.193 0.105 0.303 Sr
0.307 0.105 0.803 Sr
0.807 0.895 0.697 Sr
0.307 0.605 0.697 Sr
0.693 0.395 0.303 Sr
0.003 0.268 0.538 Ca
0.997 0.732 0.462 Ca
0.497 0.768 0.462 Ca
0.997 0.232 0.038 Ca
0.503 0.232 0.538 Ca
0.003 0.768 0.962 Ca
0.503 0.732 0.962 Ca
0.497 0.268 0.038 Ca
0.725 0.043 0.907 Au
0.275 0.957 0.093 Au
0.775 0.543 0.093 Au
0.275 0.457 0.407 Au
0.225 0.457 0.907 Au
0.725 0.543 0.593 Au
0.225 0.957 0.593 Au
0.775 0.043 0.407 Au

---

Sr3Ca7Au4, optimized geometry, DFT PBE-GGA; space group = C2/m; calculated density = 4.74 g/cm3; energy of formation = -47.0 kJ per mole of atoms
1.0
4.502 0.000 1.136
1.550 9.279 3.349
-0.396 -0.029 11.061
Sr Ca Au
3 7 4
Direct
0.311 0.177 0.201 Sr
0.689 0.823 0.799 Sr
0.000 0.500 0.500 Sr
0.316 0.843 0.526 Ca
0.493 0.245 0.769 Ca
0.829 0.415 0.927 Ca
0.684 0.157 0.474 Ca
0.171 0.585 0.073 Ca
0.000 0.000 0.000 Ca
0.507 0.755 0.231 Ca
0.670 0.428 0.232 Au
0.330 0.572 0.768 Au
0.882 0.915 0.322 Au
0.118 0.085 0.678 Au

---

SrCa2Au, optimized geometry, DFT PBE-GGA; space group = P4mm; energy above the lowest structure with this stoichiometry = 68 meV/atom; calculated density = 4.31 g/cm3; energy of formation = -38.0 kJ per mole of atoms
1.0
-2.422 1.279 2.655
2.103 -1.661 2.718
7.328 6.397 3.602
Sr Ca Au
1 2 1
Direct
0.000 0.436 0.565 Sr
0.000 0.065 0.934 Ca
0.500 0.266 0.235 Ca
0.500 0.733 0.766 Au